Record 1
! BAsPd PBE optimized geometry; values from VASP
! Energy of formation from the pure elements (eV/atom): 0.063
! Space-group type: C2/m, No. 12
&SYSTEM
  ibrav = 0, nat = 6, ntyp = 3
/
ATOMIC_SPECIES
B 10.81 B.upf
As 74.92 As.upf
Pd 106.42 Pd.upf
CELL_PARAMETERS angstrom
5.853 -1.569 0.000
5.853 1.569 0.000
-0.708 0.000 4.694
ATOMIC_POSITIONS crystal
B 0.227 0.227 0.032
B 0.773 0.773 0.968
As 0.100 0.100 0.308
As 0.900 0.900 0.692
Pd 0.416 0.416 0.223
Pd 0.584 0.584 0.777

Record 2
! CsTl4S2 PBE optimized geometry; values from VASP
! Space-group type: P4_2/mnm, No. 136
! E_form (uncorrected) (kJ/mol of formula units): -246
&SYSTEM
  ibrav = 0, nat = 14, ntyp = 3
/
ATOMIC_SPECIES
Cs 132.91 Cs.upf
Tl 204.38 Tl.upf
S 32.06 S.upf
CELL_PARAMETERS angstrom
9.243 0.000 0.000
0.000 9.243 0.000
0.000 0.000 5.374
ATOMIC_POSITIONS crystal
Cs 0.000 0.000 0.000
Cs 0.500 0.500 0.500
Tl 0.080 0.330 0.500
Tl 0.170 0.580 0.000
Tl 0.330 0.080 0.500
Tl 0.420 0.830 0.000
Tl 0.580 0.170 0.000
Tl 0.670 0.920 0.500
Tl 0.830 0.420 0.000
Tl 0.920 0.670 0.500
S 0.206 0.794 0.500
S 0.294 0.294 0.000
S 0.706 0.706 0.000
S 0.794 0.206 0.500

Record 3
! GdThFe2 PBE optimized geometry; values from VASP
! Energy of formation from the pure elements (eV/atom): 0.150
! Space-group type: P4/mmm, No. 123
&SYSTEM
  ibrav = 0, nat = 4, ntyp = 3
/
ATOMIC_SPECIES
Gd 157.25 Gd.upf
Th 232.04 Th.upf
Fe 55.84 Fe.upf
CELL_PARAMETERS angstrom
3.435 0.000 0.000
0.000 3.435 0.000
0.000 0.000 6.878
ATOMIC_POSITIONS crystal
Gd 0.000 0.000 0.000
Th 0.000 0.000 0.500
Fe 0.500 0.500 0.278
Fe 0.500 0.500 0.722

Record 4
! BSbSe2 PBE optimized geometry; values from VASP
! Space-group type: P1, No. 1
! E_form (uncorrected) (kJ/mol of formula units): -19
&SYSTEM
  ibrav = 0, nat = 8, ntyp = 3
/
ATOMIC_SPECIES
B 10.81 B.upf
Sb 121.76 Sb.upf
Se 78.96 Se.upf
CELL_PARAMETERS angstrom
5.847 0.000 0.000
0.045 6.328 0.000
2.910 1.913 5.803
ATOMIC_POSITIONS crystal
B 0.000 0.000 0.000
B 0.025 0.454 0.091
Sb 0.329 0.713 0.377
Sb 0.425 0.493 0.777
Se 0.089 0.371 0.379
Se 0.362 0.069 0.798
Se 0.775 0.184 0.157
Se 0.819 0.716 0.026